Entry 1:
This record from Alexandria describes crystalline UInPt at its relaxed geometry. The functional is PBE.

Output
Space group: F-43m
Density of states at the Fermi level (states/eV/atom): 3.375
Theoretical density (g/cm3): 12.33
M_tot (μB/atom): 0.70
E_form (eV/atom): -0.31
E_tot (eV/atom): -7.000

Cell lengths 4.7079, 4.7079, 4.7079 Å; angles 60.00, 60.00, 60.00 degrees
Each line ends with the local moment (μB).
Sites, in units of the cell vectors:
U: 0.5000 0.5000 0.5000  1.99
Pt: 0.2500 0.2500 0.2500  -0.07
In: 0.0000 0.0000 0.0000  0.01

***

Entry 2:
This record from Alexandria describes crystalline Ac6Y2Ho at its relaxed geometry. The functional is PBE.

Output
Space group: C2/c
Density of states at the Fermi level (states/eV/atom): 1.696
Theoretical density (g/cm3): 7.60
M_tot (μB/atom): 0.00
E_form (eV/atom): 0.17
E_tot (eV/atom): -4.518

Cell lengths 7.7330, 9.9079, 9.9079 Å; angles 78.96, 90.31, 90.31 degrees
Sites, in units of the cell vectors:
Ac: 0.6287 0.5960 0.6081
Ac: 0.8713 0.3919 0.4040
Ac: 0.3713 0.4040 0.3919
Ac: 0.1287 0.6081 0.5960
Ac: 0.8738 0.8971 0.3883
Ac: 0.6262 0.6117 0.1029
Ac: 0.1262 0.1029 0.6117
Ac: 0.3738 0.3883 0.8971
Ac: 0.1133 0.6572 0.1134
Ac: 0.3867 0.8866 0.3428
Ac: 0.8867 0.3428 0.8866
Ac: 0.6133 0.1134 0.6572
Y: 0.3951 0.7953 0.8063
Y: 0.1049 0.1937 0.2047
Y: 0.6049 0.2047 0.1937
Y: 0.8951 0.8063 0.7953
Ho: 0.2500 0.0264 0.9736
Ho: 0.7500 0.9736 0.0264

***

Entry 3:
This record from Alexandria describes crystalline DyUSn2 at its relaxed geometry. The functional is PBE.

Output
Space group: P4/mmm
Density of states at the Fermi level (states/eV/atom): 1.630
Theoretical density (g/cm3): 10.10
M_tot (μB/atom): 0.79
E_form (eV/atom): -0.24
E_tot (eV/atom): -6.211

Cell lengths 4.2806, 4.9503, 4.9503 Å; angles 90.00, 90.00, 90.00 degrees
Each line ends with the local moment (μB).
Sites, in units of the cell vectors:
U: 0.5000 0.5000 0.5000  2.54
Sn: 0.0000 0.0000 0.5000  -0.04
Sn: 0.0000 0.5000 0.0000  -0.04
Dy: 0.5000 0.0000 0.0000  0.31

***

Entry 4:
This record from Alexandria describes crystalline InNi3Ge at its relaxed geometry. The functional is PBE.

Output
Space group: Pm-3m
Density of states at the Fermi level (states/eV/atom): 0.729
Theoretical density (g/cm3): 5.97
M_tot (μB/atom): 0.00
E_form (eV/atom): 1.15
E_tot (eV/atom): -3.792

Cell lengths 4.6581, 4.6581, 4.6581 Å; angles 90.00, 90.00, 90.00 degrees
Sites, in units of the cell vectors:
Ni: 0.0000 0.5000 0.0000
Ni: 0.0000 0.0000 0.5000
Ni: 0.5000 0.0000 0.0000
Ge: 0.5000 0.5000 0.5000
In: 0.0000 0.0000 0.0000